# 1
Compound: Sr2LiPbO
Source: Alexandria via LeMat-Bulk
Functional: GGA-PBE
Structure: optimized geometry

```
data_Sr2LiPbO
_symmetry_space_group_name_H-M 'P 4/m m m'
_symmetry_Int_Tables_number 123
_symmetry_space_group_name_Hall '-P 4 2'
_cell_length_a 5.2990
_cell_length_b 5.2990
_cell_length_c 5.3296
_cell_angle_alpha 90.00
_cell_angle_beta 90.00
_cell_angle_gamma 90.00
loop_
_atom_site_label
_atom_site_type_symbol
_atom_site_fract_x
_atom_site_fract_y
_atom_site_fract_z
Sr1 Sr 0.0000 0.5000 0.0000
Li1 Li 0.0000 0.0000 0.5000
Pb1 Pb 0.5000 0.5000 0.5000
O1 O 0.5000 0.5000 0.0000
```

Properties
For the distance to the lowest polymorph of the same formula, the calculation gives 0.352 eV/atom. The value obtained for the density of states at the Fermi level is 2.404 states/eV/f.u.

***

# 2
Compound: SrLi2PbO4
Source: Alexandria via LeMat-Bulk
Functional: GGA-PBE
Structure: optimized geometry

```
data_SrLi2PbO4
_symmetry_space_group_name_H-M 'I -4 2 m'
_symmetry_Int_Tables_number 121
_symmetry_space_group_name_Hall 'I -4 2'
_cell_length_a 5.5508
_cell_length_b 5.5508
_cell_length_c 7.1438
_cell_angle_alpha 90.00
_cell_angle_beta 90.00
_cell_angle_gamma 90.00
loop_
_atom_site_label
_atom_site_type_symbol
_atom_site_fract_x
_atom_site_fract_y
_atom_site_fract_z
Sr1 Sr 0.0000 0.0000 0.0000
Li1 Li 0.0000 0.5000 0.2500
Pb1 Pb 0.0000 0.0000 0.5000
O1 O 0.2193 0.2193 0.6695
```

Properties
The value obtained for the density of states at the Fermi level is 0.000 states/eV/f.u.

***

# 3
Compound: LiTaPb2O5
Source: Alexandria via LeMat-Bulk
Functional: GGA-PBE
Structure: optimized geometry

```
data_LiTaPb2O5
_symmetry_space_group_name_H-M 'C m c 21'
_symmetry_Int_Tables_number 36
_cell_length_a 3.2095
_cell_length_b 14.3513
_cell_length_c 11.8688
_cell_angle_alpha 90.00
_cell_angle_beta 90.00
_cell_angle_gamma 90.00
loop_
_symmetry_equiv_pos_as_xyz
'x,y,z'
'-x,-y,z+1/2'
'-x,y,z'
'x,-y,z+1/2'
'x+1/2,y+1/2,z'
'-x+1/2,-y+1/2,z+1/2'
'-x+1/2,y+1/2,z'
'x+1/2,-y+1/2,z+1/2'
loop_
_atom_site_label
_atom_site_type_symbol
_atom_site_fract_x
_atom_site_fract_y
_atom_site_fract_z
Li1 Li 0.0000 0.0459 0.0000
Ta1 Ta 0.0000 0.2997 0.5930
Pb1 Pb 0.0000 0.3476 0.8951
Pb2 Pb 0.0000 0.4448 0.2369
O1 O 0.0000 0.0143 0.3507
O2 O 0.0000 0.1672 0.5441
O3 O 0.0000 0.1832 0.9829
O4 O 0.0000 0.2174 0.1968
O5 O 0.0000 0.4376 0.6005
```

Properties
The value obtained for the density of states at the Fermi level is 0.000 states/eV/f.u.

***

# 4
Compound: LiTaPb2O6
Source: Alexandria via LeMat-Bulk
Functional: GGA-PBE
Structure: optimized geometry

```
data_LiTaPb2O6
_symmetry_space_group_name_H-M 'P 1 21/c 1'
_symmetry_Int_Tables_number 14
_cell_length_a 5.5596
_cell_length_b 5.7137
_cell_length_c 10.0441
_cell_angle_alpha 90.00
_cell_angle_beta 122.30
_cell_angle_gamma 90.00
loop_
_symmetry_equiv_pos_as_xyz
'x,y,z'
'-x,-y,-z'
'-x,y+1/2,-z+1/2'
'x,-y+1/2,z+1/2'
loop_
_atom_site_label
_atom_site_type_symbol
_atom_site_fract_x
_atom_site_fract_y
_atom_site_fract_z
Li1 Li 0.0000 0.0000 0.0000
Ta1 Ta 0.5000 0.0000 0.5000
Pb1 Pb 0.2121 0.0470 0.7370
O1 O 0.1628 0.1947 0.4505
O2 O 0.2372 0.7202 0.4178
O3 O 0.4100 0.0707 0.2798
```

Properties
The value obtained for the density of states at the Fermi level is 2.683 states/eV/f.u.

***

# 5
Compound: Li2TaPbO6
Source: Alexandria via LeMat-Bulk
Functional: GGA-PBE
Structure: optimized geometry

```
data_Li2TaPbO6
_symmetry_space_group_name_H-M 'R 3'
_symmetry_Int_Tables_number 146
_symmetry_space_group_name_Hall 'R 3'
_cell_length_a 5.3079
_cell_length_b 5.3079
_cell_length_c 14.4248
_cell_angle_alpha 90.00
_cell_angle_beta 90.00
_cell_angle_gamma 120.00
loop_
_atom_site_label
_atom_site_type_symbol
_atom_site_fract_x
_atom_site_fract_y
_atom_site_fract_z
Li1 Li 0.0000 0.0000 0.0000
Li2 Li 0.0000 0.0000 0.4992
Ta1 Ta 0.0000 0.0000 0.7170
Pb1 Pb 0.0000 0.0000 0.2140
O1 O 0.0016 0.3584 0.4474
O2 O 0.0438 0.6690 0.2871
```

Properties
The value obtained for the density of states at the Fermi level is 6.078 states/eV/f.u.

***

# 6
Compound: LiTb3Pb2O
Source: Alexandria via LeMat-Bulk
Functional: GGA-PBE
Structure: optimized geometry

```
data_LiTb3Pb2O
_symmetry_space_group_name_H-M 'I m m m'
_symmetry_Int_Tables_number 71
_symmetry_space_group_name_Hall '-I 2 2'
_cell_length_a 4.4356
_cell_length_b 4.6339
_cell_length_c 16.2338
_cell_angle_alpha 90.00
_cell_angle_beta 90.00
_cell_angle_gamma 90.00
loop_
_atom_site_label
_atom_site_type_symbol
_atom_site_fract_x
_atom_site_fract_y
_atom_site_fract_z
Li1 Li 0.0000 0.0000 0.0000
Tb1 Tb 0.0000 0.0000 0.5000
Tb2 Tb 0.0000 0.5000 0.3414
Pb1 Pb 0.0000 0.5000 0.1428
O1 O 0.0000 0.5000 0.5000
```

Properties
The value obtained for the density of states at the Fermi level is 1.114 states/eV/f.u.

***

# 7
Compound: LiTb2PbO6
Source: Alexandria via LeMat-Bulk
Functional: GGA-PBE
Structure: optimized geometry

```
data_LiTb2PbO6
_symmetry_space_group_name_H-M 'R 3'
_symmetry_Int_Tables_number 146
_symmetry_space_group_name_Hall 'R 3'
_cell_length_a 5.7095
_cell_length_b 5.7095
_cell_length_c 15.2033
_cell_angle_alpha 90.00
_cell_angle_beta 90.00
_cell_angle_gamma 120.00
loop_
_atom_site_label
_atom_site_type_symbol
_atom_site_fract_x
_atom_site_fract_y
_atom_site_fract_z
Li1 Li 0.0000 0.0000 0.0000
Tb1 Tb 0.0000 0.0000 0.2781
Tb2 Tb 0.0000 0.0000 0.7790
Pb1 Pb 0.0000 0.0000 0.4899
O1 O 0.0429 0.3583 0.5522
O2 O 0.0486 0.6792 0.0542
```

Properties
The value obtained for the density of states at the Fermi level is 10.373 states/eV/f.u.

***

# 8
Compound: LiTcPbO6
Source: Alexandria via LeMat-Bulk
Functional: GGA-PBE
Structure: optimized geometry

```
data_LiTcPbO6
_symmetry_space_group_name_H-M 'P 3 1 2'
_symmetry_Int_Tables_number 149
_cell_length_a 5.1323
_cell_length_b 5.1323
_cell_length_c 4.6699
_cell_angle_alpha 90.00
_cell_angle_beta 90.00
_cell_angle_gamma 120.00
loop_
_symmetry_equiv_pos_as_xyz
'x,y,z'
'-y,x-y,z'
'-x+y,-x,z'
'-y,-x,-z'
'-x+y,y,-z'
'x,x-y,-z'
loop_
_atom_site_label
_atom_site_type_symbol
_atom_site_fract_x
_atom_site_fract_y
_atom_site_fract_z
Li1 Li 0.0000 0.0000 0.0000
Tc1 Tc 0.6667 0.3333 0.0000
Pb1 Pb 0.3333 0.6667 0.5000
O1 O 0.3582 0.0320 0.7704
```

***

no.,formation energy (no corrections) (eV per atom),total magnetization (μB/f.u.)
1,-0.9371,0.00
2,-1.7857,0.00
3,-1.8795,0.00
4,-1.7138,0.00
5,-1.7823,1.06
6,-1.1968,0.00
7,-2.1780,1.11
8,-1.1521,0.00